The following is a PBE calculation of LiSi2N3 after structural relaxation, from Alexandria.

CIF file:
```
data_LiSi2N3
_space_group_name_H-M_alt 'P 1'
_space_group_IT_number 1
_cell_length_a 5.282
_cell_length_b 5.282
_cell_length_c 5.106
_cell_angle_alpha 98.98
_cell_angle_beta 98.98
_cell_angle_gamma 120.66
loop_
_space_group_symop_operation_xyz
'x,y,z'
loop_
_atom_site_label
_atom_site_fract_x
_atom_site_fract_y
_atom_site_fract_z
Li1 0.077 0.923 0.500
Li2 0.923 0.077 0.000
Si1 0.245 0.741 0.993
Si2 0.429 0.599 0.495
Si3 0.599 0.429 0.995
Si4 0.741 0.245 0.493
N1 0.128 0.583 0.623
N2 0.338 0.495 0.127
N3 0.495 0.338 0.627
N4 0.583 0.128 0.123
N5 0.742 0.961 0.601
N6 0.961 0.742 0.101
```

- Space group: Cc, No. 9
- Formation energy (no corrections): -1.064 eV/atom
- Magnetization: 0.000 μB per cell

=====

The following is a PBE calculation of LaScBr2 after structural relaxation, from Alexandria.

CIF file:
```
data_LaScBr2
_space_group_name_H-M_alt 'P 1'
_space_group_IT_number 1
_cell_length_a 5.522
_cell_length_b 5.522
_cell_length_c 5.522
_cell_angle_alpha 60.00
_cell_angle_beta 60.00
_cell_angle_gamma 60.00
loop_
_space_group_symop_operation_xyz
'x,y,z'
loop_
_atom_site_label
_atom_site_fract_x
_atom_site_fract_y
_atom_site_fract_z
La1 0.000 0.000 0.000
Sc1 0.750 0.750 0.750
Br1 0.250 0.250 0.250
Br2 0.500 0.500 0.500
```

- Space group: F-43m, No. 216
- Formation energy (no corrections): -0.349 eV/atom
- Magnetization: 3.948 μB per cell

=====

The following is a PBE calculation of TbYHo2Tm6 after structural relaxation, from Alexandria.

CIF file:
```
data_TbYHo2Tm6
_space_group_name_H-M_alt 'P 1'
_space_group_IT_number 1
_cell_length_a 8.685
_cell_length_b 8.685
_cell_length_c 9.443
_cell_angle_alpha 93.87
_cell_angle_beta 93.87
_cell_angle_gamma 118.09
loop_
_space_group_symop_operation_xyz
'x,y,z'
loop_
_atom_site_label
_atom_site_fract_x
_atom_site_fract_y
_atom_site_fract_z
Tb1 0.091 0.909 0.750
Tb2 0.909 0.091 0.250
Y1 0.477 0.523 0.250
Y2 0.523 0.477 0.750
Ho1 0.196 0.305 0.956
Ho2 0.305 0.196 0.456
Ho3 0.695 0.804 0.544
Ho4 0.804 0.695 0.044
Tm1 0.003 0.789 0.381
Tm2 0.072 0.523 0.184
Tm3 0.211 0.997 0.119
Tm4 0.250 0.626 0.557
Tm5 0.374 0.750 0.943
Tm6 0.477 0.928 0.316
Tm7 0.523 0.072 0.684
Tm8 0.626 0.250 0.057
Tm9 0.750 0.374 0.443
Tm10 0.789 0.003 0.881
Tm11 0.928 0.477 0.816
Tm12 0.997 0.211 0.619
```

- Space group: C2/c, No. 15
- Magnetization: 0.000 μB per cell
- ΔE_f: 0.12 eV per atom